Record 1
Below is a relaxed structure of VIr4W, with properties calculated at the PBE level.

Unit cell a=9.046 b=2.742 c=8.386 alpha=90.00 beta=120.23 gamma=90.00
Space group C2/m (No. 12)
Inequivalent atoms, fractional coordinates:
V: 0.000 0.000 0.000 (multiplicity 2)
Ir: 0.153 0.000 0.344 (multiplicity 4)
Ir: 0.208 0.000 0.845 (multiplicity 4)
W: 0.000 0.500 0.500 (multiplicity 2)

Computed properties:
Energy of formation, eV per atom: -0.15
Magnetization, μB per formula unit: 0.0
Electronic total energy, eV/atom: -9.74
N(E_F), states/eV/atom: 0.91
Crystal system: monoclinic

Record 2
Below is a relaxed structure of AcGdCl2, with properties calculated at the PBE level.

Unit cell a=3.8332 b=3.8332 c=29.8522 alpha=90.00 beta=90.00 gamma=120.00
Space group R-3m (No. 166, hexagonal axes)
Inequivalent atoms, fractional coordinates:
Ac: 0.0000 0.0000 0.0000 (multiplicity 3)
Gd: 0.0000 0.0000 0.5000 (multiplicity 3)
Cl: 0.0000 0.0000 0.4079 (multiplicity 6)

Computed properties:
Magnetization, μB per formula unit: 7.0
Formation energy without anion corrections, eV per atom: -1.3415
Electronic total energy, eV/atom: -6.81
N(E_F), states/eV/atom: 1.29
Crystal system: trigonal

Record 3
Below is a relaxed structure of Pm8Ho6Cd, with properties calculated at the PBE level.

Unit cell a=9.4316 b=9.4316 c=6.3829 alpha=90.00 beta=90.00 gamma=120.00
Space group P-3 (No. 147)
Inequivalent atoms, fractional coordinates:
Pm: 0.0425 0.2704 0.3141 (multiplicity 6)
Pm: 0.3333 0.6667 0.3264 (multiplicity 2)
Ho: 0.0970 0.4539 0.8227 (multiplicity 6)
Cd: 0.0000 0.0000 0.0000 (multiplicity 1)

Computed properties:
Energy of formation, eV per atom: 0.10
Magnetization, μB per formula unit: 0.0
Electronic total energy, eV/atom: -4.33
N(E_F), states/eV/atom: 1.41
Crystal system: trigonal

Record 4
Below is a relaxed structure of CuRh2Au, with properties calculated at the PBE level.

Unit cell a=7.099 b=7.099 c=5.118 alpha=90.00 beta=90.00 gamma=90.00
Space group I-42d (No. 122)
Inequivalent atoms, fractional coordinates:
Cu: 0.000 0.000 0.000 (multiplicity 4)
Rh: 0.217 0.750 0.125 (multiplicity 8)
Au: 0.000 0.000 0.500 (multiplicity 4)

Computed properties:
Energy of formation, eV per atom: 0.54
Magnetization, μB per formula unit: 1.5
Electronic total energy, eV/atom: -4.98
N(E_F), states/eV/atom: 1.40
Crystal system: tetragonal

Record 5
Below is a relaxed structure of InBiPb, with properties calculated at the PBE level.

Unit cell a=5.6186 b=5.6186 c=3.4036 alpha=90.00 beta=90.00 gamma=120.00
Space group P3m1 (No. 156)
Inequivalent atoms, fractional coordinates:
In: 0.0000 0.0000 0.0000 (multiplicity 1)
Bi: 0.6667 0.3333 0.6711 (multiplicity 1)
Pb: 0.3333 0.6667 0.4801 (multiplicity 1)

Computed properties:
Energy of formation, eV per atom: 0.02
Magnetization, μB per formula unit: 0.0
Electronic total energy, eV/atom: -3.42
N(E_F), states/eV/atom: 0.36
Crystal system: trigonal

Record 6
Below is a relaxed structure of Pt2PbF2, with properties calculated at the PBE level.

Unit cell a=7.686 b=7.686 c=2.910 alpha=90.00 beta=90.00 gamma=90.00
Space group P4/mbm (No. 127)
Inequivalent atoms, fractional coordinates:
Pt: 0.112 0.388 0.000 (multiplicity 4)
Pb: 0.000 0.000 0.000 (multiplicity 2)
F: 0.227 0.727 0.500 (multiplicity 4)

Computed properties:
Magnetization, μB per formula unit: 0.9
Formation energy without anion corrections, eV per atom: -0.3296
Electronic total energy, eV/atom: -4.24
N(E_F), states/eV/atom: 0.47
Crystal system: tetragonal

Record 7
Below is a relaxed structure of InTc2Os2, with properties calculated at the PBE level.

Unit cell a=7.637 b=7.637 c=2.804 alpha=90.00 beta=90.00 gamma=90.00
Space group P4/mbm (No. 127)
Inequivalent atoms, fractional coordinates:
In: 0.000 0.000 0.000 (multiplicity 2)
Tc: 0.164 0.336 0.500 (multiplicity 4)
Os: 0.124 0.624 0.000 (multiplicity 4)

Computed properties:
Energy of formation, eV per atom: 0.27
Magnetization, μB per formula unit: 0.0
Electronic total energy, eV/atom: -8.92
N(E_F), states/eV/atom: 0.94
Crystal system: tetragonal

Record 8
Below is a relaxed structure of HgTeIO2, with properties calculated at the PBE level.

Unit cell a=4.284 b=4.284 c=7.528 alpha=90.00 beta=90.00 gamma=90.00
Space group P4/mmm (No. 123)
Inequivalent atoms, fractional coordinates:
Hg: 0.000 0.000 0.000 (multiplicity 1)
Te: 0.500 0.500 0.500 (multiplicity 1)
I: 0.000 0.000 0.500 (multiplicity 1)
O: 0.000 0.500 0.000 (multiplicity 2)

Computed properties:
Magnetization, μB per formula unit: 1.2
Formation energy without anion corrections, eV per atom: 0.5413
Electronic total energy, eV/atom: -2.44
N(E_F), states/eV/atom: 1.19
Crystal system: tetragonal